LaCo2Pt | PBE-GGA | optimized geometry

Properties
Space-group type: Pm
DOS(E_F) in states/eV per cell: 5.4
DFT formation energy in eV/atom: -0.117
E in eV/atom: -6.41
ρ in g/cm³: 10.16

Cell lengths 4.125, 4.374, 4.367 Å; angles 69.52, 90.00, 90.00 degrees
Positions (direct):
Co (0.000, 0.023, 0.023)
Co (0.500, 0.171, 0.173)
La (0.000, 0.491, 0.492)
Pt (0.500, 0.815, 0.812)